i) The following is a GGA-PBE calculation of LaHfSc3 after structural relaxation, from the Alexandria database.

abc: 5.3176 5.3176 5.3176
angles: 90.00 90.00 90.00
Atoms (fractional coordinates):
Sc 0.0000 0.5000 0.0000
Sc 0.0000 0.0000 0.5000
Sc 0.5000 0.0000 0.0000
Hf 0.0000 0.0000 0.0000
La 0.5000 0.5000 0.5000

For the theoretical density, the calculation gives 5.0 g cm⁻³. Its volume is 30.1 Å³ per atom. Its crystal system is cubic. The total magnetization comes out at 0.0 μB per cell. As for the space-group type: Pm-3m, No. 221.

---

ii) The following is a GGA-PBE calculation of LaHfSc3 after structural relaxation, from the Alexandria database.

abc: 5.1289 5.1289 5.1289
angles: 90.00 90.00 90.00
Atoms (fractional coordinates):
Sc 0.0000 0.5000 0.0000
Sc 0.0000 0.0000 0.5000
Sc 0.5000 0.0000 0.0000
Hf 0.5000 0.5000 0.5000
La 0.0000 0.0000 0.0000

For the theoretical density, the calculation gives 5.6 g cm⁻³. Its volume is 27.0 Å³ per atom. Its crystal system is cubic. The total magnetization comes out at 0.7 μB per cell. As for the space-group type: Pm-3m, No. 221.

---

Name the least stable of them. ii).

---

i) The following is a GGA-PBE calculation of LaHfSc2 after structural relaxation, from the Alexandria database.

abc: 3.3187 3.3187 11.1681
angles: 81.46 81.46 60.00
Atoms (fractional coordinates):
La 0.5007 0.5007 0.4978
Hf 0.6662 0.6662 0.0014
Sc 0.0751 0.0751 0.7747
Sc 0.2579 0.2579 0.2262

For the theoretical density, the calculation gives 6.4 g cm⁻³. Its volume is 26.2 Å³ per atom. Its crystal system is trigonal. The total magnetization comes out at 0.0 μB per cell. As for the space-group type: R3m, No. 160.

---

ii) The following is a GGA-PBE calculation of LaHfSc2 after structural relaxation, from the Alexandria database.

abc: 3.8199 3.8199 7.3154
angles: 90.00 90.00 90.00
Atoms (fractional coordinates):
Sc 0.0000 0.0000 0.7870
Sc 0.0000 0.0000 0.2130
Hf 0.5000 0.5000 0.0000
La 0.5000 0.5000 0.5000

For the theoretical density, the calculation gives 6.3 g cm⁻³. Its volume is 26.7 Å³ per atom. Its crystal system is tetragonal. The total magnetization comes out at 0.0 μB per cell. As for the space-group type: P4/mmm, No. 123.

---

Name the least stable of them. ii).

---

i) The following is a GGA-PBE calculation of LaHfSc2 after structural relaxation, from the Alexandria database.

abc: 4.6375 4.7430 4.7430
angles: 90.00 90.00 90.00
Atoms (fractional coordinates):
Sc 0.0000 0.0000 0.5000
Sc 0.0000 0.5000 0.0000
Hf 0.5000 0.0000 0.0000
La 0.5000 0.5000 0.5000

For the theoretical density, the calculation gives 6.5 g cm⁻³. Its volume is 26.1 Å³ per atom. Its crystal system is tetragonal. The total magnetization comes out at 0.0 μB per cell. As for the space-group type: P4/mmm, No. 123.

---

ii) The following is a GGA-PBE calculation of LaHfSc2 after structural relaxation, from the Alexandria database.

abc: 3.3260 3.3260 11.0533
angles: 81.35 81.35 60.00
Atoms (fractional coordinates):
Sc 0.7429 0.7429 0.7712
Sc 0.2571 0.2571 0.2288
Hf 0.0000 0.0000 0.0000
La 0.5000 0.5000 0.5000

For the theoretical density, the calculation gives 6.5 g cm⁻³. Its volume is 26.1 Å³ per atom. Its crystal system is trigonal. The total magnetization comes out at 0.0 μB per cell. As for the space-group type: R-3m, No. 166.

---

Name the least stable of them. i).

---

i) The following is a GGA-PBE calculation of LaHfSi2 after structural relaxation, from the Alexandria database.

abc: 4.0515 4.0515 7.0735
angles: 73.36 73.36 60.00
Atoms (fractional coordinates):
Si 0.2641 0.2641 0.2078
Si 0.7359 0.7359 0.7922
Hf 0.0000 0.0000 0.0000
La 0.5000 0.5000 0.5000

For the theoretical density, the calculation gives 6.5 g cm⁻³. Its volume is 23.7 Å³ per atom. Its crystal system is trigonal. The total magnetization comes out at 0.0 μB per cell. As for the space-group type: R-3m, No. 166.

---

ii) The following is a GGA-PBE calculation of LaHfSi2 after structural relaxation, from the Alexandria database.

abc: 4.8710 4.8710 9.6102
angles: 75.32 75.32 90.00
Atoms (fractional coordinates):
Si 0.8014 0.1250 0.2500
Si 0.9486 0.6250 0.2500
Si 0.3750 0.1986 0.7500
Si 0.8750 0.0514 0.7500
Hf 0.0000 0.0000 0.0000
Hf 0.7500 0.2500 0.5000
La 0.5000 0.5000 0.0000
La 0.2500 0.7500 0.5000

For the theoretical density, the calculation gives 5.8 g cm⁻³. Its volume is 26.6 Å³ per atom. Its crystal system is tetragonal. The total magnetization comes out at 0.0 μB per cell. As for the space-group type: I-42d, No. 122.

---

Name the least stable of them. ii).

---

i) The following is a GGA-PBE calculation of La2SmHf after structural relaxation, from the Alexandria database.

abc: 4.9093 5.0450 5.0450
angles: 90.00 90.00 90.00
Atoms (fractional coordinates):
Hf 0.5000 0.0000 0.0000
Sm 0.5000 0.5000 0.5000
La 0.0000 0.0000 0.5000
La 0.0000 0.5000 0.0000

For the theoretical density, the calculation gives 8.1 g cm⁻³. Its volume is 31.2 Å³ per atom. Its crystal system is tetragonal. The total magnetization comes out at 0.0 μB per cell. As for the space-group type: P4/mmm, No. 123.

---

ii) The following is a GGA-PBE calculation of La2SmHf after structural relaxation, from the Alexandria database.

abc: 3.3859 3.3859 12.6439
angles: 82.31 82.31 60.00
Atoms (fractional coordinates):
Hf 0.0000 0.0000 0.0000
Sm 0.5000 0.5000 0.5000
La 0.0817 0.0817 0.7550
La 0.9183 0.9183 0.2450

For the theoretical density, the calculation gives 8.1 g cm⁻³. Its volume is 31.0 Å³ per atom. Its crystal system is trigonal. The total magnetization comes out at 0.0 μB per cell. As for the space-group type: R-3m, No. 166.

---

iii) The following is a GGA-PBE calculation of La2SmHf after structural relaxation, from the Alexandria database.

abc: 4.0936 4.0936 7.5241
angles: 90.00 90.00 90.00
Atoms (fractional coordinates):
Hf 0.5000 0.5000 0.0000
Sm 0.5000 0.5000 0.5000
La 0.0000 0.0000 0.7787
La 0.0000 0.0000 0.2213

For the theoretical density, the calculation gives 8.0 g cm⁻³. Its volume is 31.5 Å³ per atom. Its crystal system is tetragonal. The total magnetization comes out at 0.0 μB per cell. As for the space-group type: P4/mmm, No. 123.

---

Name the least stable of them. ii).

---

i) The following is a GGA-PBE calculation of LaHf3Sn after structural relaxation, from the Alexandria database.

abc: 5.1443 5.1443 5.1443
angles: 90.00 90.00 90.00
Atoms (fractional coordinates):
Hf 0.0000 0.5000 0.0000
Hf 0.0000 0.0000 0.5000
Hf 0.5000 0.0000 0.0000
Sn 0.5000 0.5000 0.5000
La 0.0000 0.0000 0.0000

For the theoretical density, the calculation gives 9.7 g cm⁻³. Its volume is 27.2 Å³ per atom. Its crystal system is cubic. The total magnetization comes out at 0.0 μB per cell. As for the space-group type: Pm-3m, No. 221.

---

ii) The following is a GGA-PBE calculation of LaHf3Sn after structural relaxation, from the Alexandria database.

abc: 5.3697 5.3697 5.3697
angles: 90.00 90.00 90.00
Atoms (fractional coordinates):
Hf 0.0000 0.5000 0.0000
Hf 0.0000 0.0000 0.5000
Hf 0.5000 0.0000 0.0000
Sn 0.0000 0.0000 0.0000
La 0.5000 0.5000 0.5000

For the theoretical density, the calculation gives 8.5 g cm⁻³. Its volume is 31.0 Å³ per atom. Its crystal system is cubic. The total magnetization comes out at 0.0 μB per cell. As for the space-group type: Pm-3m, No. 221.

---

Name the least stable of them. i).